No. 1
! NbFeOs3 PBE optimized geometry; values from VASP
&SYSTEM
  ibrav = 0, nat = 5, ntyp = 3
/
ATOMIC_SPECIES
Nb 92.91 Nb.upf
Fe 55.84 Fe.upf
Os 190.23 Os.upf
ATOMIC_POSITIONS angstrom
Nb 0.0000 0.0000 0.0000
Fe 2.1956 2.1956 2.1956
Os 0.0000 2.1956 2.1956
Os 2.1956 0.0000 2.1956
Os 2.1956 2.1956 0.0000
CELL_PARAMETERS angstrom
4.3913 0.0000 0.0000
0.0000 4.3913 0.0000
0.0000 0.0000 4.3913
! crystal system	cubic
! density of states at the Fermi level	6.9	states/eV per cell
! distance to the lowest polymorph of the same formula	0	meV per atom
! calculated formation energy	1.4356	eV per atom
! space group	Pm-3m (221)
! M_tot	1.53	μB/cell


No. 2
! TlCdSb2Pb2 PBE optimized geometry; values from VASP
&SYSTEM
  ibrav = 0, nat = 12, ntyp = 4
/
ATOMIC_SPECIES
Tl 204.38 Tl.upf
Cd 112.41 Cd.upf
Sb 121.76 Sb.upf
Pb 207.20 Pb.upf
ATOMIC_POSITIONS angstrom
Tl 0.0000 0.2507 0.0000
Tl 0.0000 8.9027 3.5846
Cd 2.7998 1.6667 4.7197
Cd 2.7998 7.4867 1.1351
Sb 0.0000 3.0007 5.4457
Sb 0.0000 6.1526 1.8611
Sb 2.7998 1.3297 1.7859
Sb 2.7998 7.8236 5.3705
Pb 0.0000 3.0118 2.2769
Pb 0.0000 6.1416 5.8615
Pb 2.7998 3.8500 7.0411
Pb 2.7998 5.3034 3.4565
CELL_PARAMETERS angstrom
5.5997 0.0000 0.0000
0.0000 9.1534 0.0000
0.0000 0.0000 7.1692
! crystal system	orthorhombic
! density of states at the Fermi level	4.4	states/eV per cell
! formation energy without anion corrections	0.01	eV per atom
! space group	Pmc2_1 (26)
! M_tot	0.00	μB/cell


No. 3
! Pa2CdBi PBE optimized geometry; values from VASP
&SYSTEM
  ibrav = 0, nat = 4, ntyp = 3
/
ATOMIC_SPECIES
Pa 231.04 Pa.upf
Cd 112.41 Cd.upf
Bi 208.98 Bi.upf
ATOMIC_POSITIONS angstrom
Pa 0.0000 2.3245 0.0000
Pa 2.3245 0.0000 0.0000
Cd 0.0000 0.0000 2.4119
Bi 2.3245 2.3245 2.4119
CELL_PARAMETERS angstrom
4.6489 0.0000 0.0000
0.0000 4.6489 0.0000
0.0000 0.0000 4.8237
! crystal system	tetragonal
! density of states at the Fermi level	8.7	states/eV per cell
! distance to the lowest polymorph of the same formula	0	meV per atom
! calculated formation energy	0.1000	eV per atom
! space group	P4/mmm (123)
! M_tot	1.91	μB/cell


No. 4
! Os2RuRhO PBE optimized geometry; values from VASP
&SYSTEM
  ibrav = 0, nat = 5, ntyp = 4
/
ATOMIC_SPECIES
Os 190.23 Os.upf
Ru 101.07 Ru.upf
Rh 102.91 Rh.upf
O 16.00 O.upf
ATOMIC_POSITIONS angstrom
Os 0.0000 2.3329 0.0000
Os 2.3329 0.0000 0.0000
Ru 0.0000 0.0000 0.0000
Rh 0.0000 0.0000 2.3654
O 2.3329 2.3329 2.3654
CELL_PARAMETERS angstrom
4.6658 0.0000 0.0000
0.0000 4.6658 0.0000
0.0000 0.0000 4.7307
! crystal system	tetragonal
! density of states at the Fermi level	7.3	states/eV per cell
! formation energy without anion corrections	2.57	eV per atom
! space group	P4/mmm (123)
! M_tot	4.33	μB/cell


No. 5
! CsLiCu2Cl4 PBE optimized geometry; values from VASP
&SYSTEM
  ibrav = 0, nat = 8, ntyp = 4
/
ATOMIC_SPECIES
Cs 132.91 Cs.upf
Li 6.94 Li.upf
Cu 63.55 Cu.upf
Cl 35.45 Cl.upf
ATOMIC_POSITIONS angstrom
Cs 0.0000 0.0000 0.0000
Li 0.0000 0.0000 4.5263
Cu 3.1869 0.0000 3.2169
Cu 0.0000 4.1099 1.3093
Cl 1.7209 2.8515 -1.4500
Cl 1.4659 1.2584 3.0762
Cl 1.4659 -1.2584 5.9763
Cl 1.7209 5.3683 1.4500
CELL_PARAMETERS angstrom
-3.1869 4.1099 4.5263
3.1869 -4.1099 4.5263
3.1869 4.1099 -4.5263
! crystal system	orthorhombic
! density of states at the Fermi level	0.0	states/eV per cell
! formation energy without anion corrections	-1.19	eV per atom
! space group	I222 (23)
! M_tot	0.00	μB/cell


No. 6
! SrTaAgSe4 PBE optimized geometry; values from VASP
&SYSTEM
  ibrav = 0, nat = 14, ntyp = 4
/
ATOMIC_SPECIES
Sr 87.62 Sr.upf
Ta 180.95 Ta.upf
Ag 107.87 Ag.upf
Se 78.96 Se.upf
ATOMIC_POSITIONS angstrom
Sr 0.9643 2.1734 0.7169
Sr 3.5891 6.5203 7.2452
Ta 0.9392 6.5203 2.3372
Ta 3.6142 2.1734 5.6249
Ag 0.6046 2.1734 5.3036
Ag 3.9488 6.5203 2.6584
Se -1.2149 0.2462 5.9180
Se -1.2149 4.1007 5.9180
Se 2.3692 6.5203 0.3855
Se 2.0489 6.5203 4.4710
Se 2.5045 2.1734 3.4910
Se 2.1842 2.1734 7.5765
Se 5.7682 4.5931 2.0440
Se 5.7682 8.4476 2.0440
CELL_PARAMETERS angstrom
6.2893 0.0000 0.0000
0.0000 8.6938 0.0000
-1.7359 0.0000 7.9620
! crystal system	monoclinic
! density of states at the Fermi level	0.0	states/eV per cell
! formation energy without anion corrections	-0.90	eV per atom
! space group	P2_1/m (11)
! M_tot	0.00	μB/cell


No. 7
! Tl4OF2 PBE optimized geometry; values from VASP
&SYSTEM
  ibrav = 0, nat = 7, ntyp = 3
/
ATOMIC_SPECIES
Tl 204.38 Tl.upf
O 16.00 O.upf
F 19.00 F.upf
ATOMIC_POSITIONS angstrom
Tl 1.5389 1.5389 -1.0725
Tl 1.5004 -1.5004 6.2163
Tl 1.5004 1.5004 4.0714
Tl -1.5004 1.5004 6.2163
O 0.0000 0.0000 0.0000
F 3.0394 0.0000 2.5719
F 0.0000 3.0394 2.5719
CELL_PARAMETERS angstrom
-3.0394 3.0394 5.1438
3.0394 -3.0394 5.1438
3.0394 3.0394 -5.1438
! crystal system	tetragonal
! density of states at the Fermi level	0.0	states/eV per cell
! formation energy without anion corrections	-1.20	eV per atom
! distance to the lowest polymorph of the same formula	0	meV per atom
! space group	I-42m (121)
! M_tot	0.00	μB/cell


No. 8
! CoPRu2 PBE optimized geometry; values from VASP
&SYSTEM
  ibrav = 0, nat = 4, ntyp = 3
/
ATOMIC_SPECIES
Co 58.93 Co.upf
P 30.97 P.upf
Ru 101.07 Ru.upf
ATOMIC_POSITIONS angstrom
Co 0.0000 0.0000 0.0000
P 1.4077 0.0000 6.3506
Ru 0.0000 0.0000 4.5002
Ru 1.4077 0.0000 2.1737
CELL_PARAMETERS angstrom
1.4077 -2.3253 0.0000
1.4077 2.3253 0.0000
0.0000 0.0000 7.9948
! crystal system	orthorhombic
! density of states at the Fermi level	5.2	states/eV per cell
! calculated formation energy	0.2875	eV per atom
! space group	Cmm2 (35)
! M_tot	1.08	μB/cell